Record 1
First-principles (PBE with a Hubbard U) data for a relaxed CaV2CdO8 crystal, as listed in Alexandria.

The space group is P-3m1 (No. 164) and the conventional cell measures 5.8572, 5.8572 and 6.4845 Å, with angles of 90.00, 90.00 and 120.00 degrees. The distinct sites, in fractional coordinates, are Ca at (0.0000, 0.0000, 0.0000), V at (0.3333, 0.6667, 0.6645), Cd at (0.0000, 0.0000, 0.5000), O at (0.1672, 0.3344, 0.7468) and O at (0.3333, 0.6667, 0.4051).

For the raw total energy, the calculation gives -6.405 eV/atom.

Record 2
First-principles (PBE with a Hubbard U) data for a relaxed CaVCdO2 crystal, as listed in Alexandria.

The space group is P4/mmm (No. 123) and the conventional cell measures 4.385, 4.385 and 5.365 Å, with angles of 90.00, 90.00 and 90.00 degrees. The distinct sites, in fractional coordinates, are Ca at (0.000, 0.000, 0.000), V at (0.500, 0.500, 0.000), Cd at (0.000, 0.000, 0.500) and O at (0.000, 0.500, 0.500).

For the raw total energy, the calculation gives -3.285 eV/atom.

Record 3
First-principles (PBE with a Hubbard U) data for a relaxed Ca2VCdO crystal, as listed in Alexandria.

The space group is P4/mmm (No. 123) and the conventional cell measures 6.096, 6.096 and 4.060 Å, with angles of 90.00, 90.00 and 90.00 degrees. The distinct sites, in fractional coordinates, are Ca at (0.000, 0.500, 0.000), V at (0.000, 0.000, 0.500), Cd at (0.500, 0.500, 0.000) and O at (0.500, 0.500, 0.500).

For the raw total energy, the calculation gives -2.709 eV/atom.

Record 4
First-principles (PBE with a Hubbard U) data for a relaxed CaCdW2O8 crystal, as listed in Alexandria.

The space group is I-4m2 (No. 119) and the conventional cell measures 7.371, 7.371 and 6.844 Å, with angles of 90.00, 90.00 and 90.00 degrees. The distinct sites, in fractional coordinates, are Ca at (0.000, 0.000, 0.000), Cd at (0.000, 0.500, 0.750), W at (0.000, 0.000, 0.500), W at (0.000, 0.500, 0.250), O at (0.000, 0.195, 0.663) and O at (0.000, 0.304, 0.090).

As for the excess energy over the best structure of this formula in the dataset: 4.5 kJ per mole of atoms.

Record 5
First-principles (PBE with a Hubbard U) data for a relaxed CaCdW2O8 crystal, as listed in Alexandria.

The space group is I-4 (No. 82) and the conventional cell measures 5.308, 5.308 and 11.384 Å, with angles of 90.00, 90.00 and 90.00 degrees. The distinct sites, in fractional coordinates, are Ca at (0.000, 0.000, 0.000), Cd at (0.000, 0.500, 0.250), W at (0.000, 0.000, 0.500), W at (0.000, 0.500, 0.750), O at (0.158, 0.243, 0.412) and O at (0.159, 0.741, 0.838).

As for the excess energy over the best structure of this formula in the dataset: 0.0 kJ per mole of atoms.